A plane-wave DFT calculation with PBE was carried out for a relaxed structure of Sc2ZnC.

Unit cell a=6.211 b=6.211 c=6.211 alpha=136.46 beta=82.82 gamma=113.59
Atoms (fractional coordinates):
Sc1 0.109 0.250 0.359
Sc2 0.115 0.561 0.054
Sc3 0.507 0.061 0.946
Sc4 0.891 0.750 0.641
Zn1 0.475 0.302 0.673
Zn2 0.629 0.802 0.327
C1 0.134 0.761 0.874
C2 0.887 0.261 0.126

## Properties
- DOS at the Fermi energy: 3.114 states/eV per cell
- Space-group type: Ima2
- Total energy: -5.989 eV per atom
- Calculated formation energy: -19 kJ/mol of atoms
- ρ: 3.807 g/cm³